Record 1
This record from the Alexandria database describes a geometry-optimized Tm2CuNi3P4 structure. The functional is PBE.

Output
E_form ... -888 meV per atom
SG ... No. 115
Crystal system ... tetragonal
Total magnetization ... 0.00 μB/f.u.

Cell and atoms, written as POSCAR:
```
Tm2CuNi3P4
1.0
3.965 0.000 0.000
0.000 3.965 0.000
0.000 0.000 9.149
Tm Cu Ni P
2 1 3 4
Direct
0.000 0.500 0.245
0.500 0.000 0.755
0.000 0.000 0.500
0.000 0.500 0.882
0.500 0.000 0.118
0.500 0.500 0.500
0.000 0.000 0.000
0.000 0.500 0.637
0.500 0.000 0.363
0.500 0.500 0.000
```

---

Record 2
This record from the Alexandria database describes a geometry-optimized MnCu2As structure. The functional is PBE.

Output
E_form ... 102 meV per atom
SG ... No. 119
Crystal system ... tetragonal
Total magnetization ... 3.48 μB/f.u.

Cell and atoms, written as POSCAR:
```
MnCu2As
1.0
-1.919 1.919 3.703
1.919 -1.919 3.703
1.919 1.919 -3.703
Mn Cu As
1 2 1
Direct
0.000 0.000 0.000
0.250 0.750 0.500
0.500 0.500 0.000
0.750 0.250 0.500
```

---

Record 3
This record from the Alexandria database describes a geometry-optimized MgAl2Si structure. The functional is PBE.

Output
SG ... No. 8
Crystal system ... monoclinic
Raw formation energy ... 75.0 meV per atom
Total magnetization ... 0.00 μB/f.u.

Cell and atoms, written as POSCAR:
```
MgAl2Si
1.0
4.655 -1.476 0.000
4.655 1.476 0.000
-0.961 0.000 5.014
Mg Al Si
1 2 1
Direct
0.000 0.000 0.000
0.508 0.508 0.508
0.756 0.756 0.281
0.251 0.251 0.742
```

---

Record 4
This record from the Alexandria database describes a geometry-optimized Tl2ReTe structure. The functional is PBE.

Output
Distance to the lowest polymorph of the same formula ... 124.5 meV/atom
SG ... No. 44
Crystal system ... orthorhombic
Raw formation energy ... 531.4 meV per atom
Total magnetization ... 0.00 μB/f.u.

Cell and atoms, written as POSCAR:
```
Tl2ReTe
1.0
-1.624 2.346 6.882
1.624 -2.346 6.882
1.624 2.346 -6.882
Tl Re Te
2 1 1
Direct
0.000 0.000 0.000
0.675 0.175 0.500
0.199 0.699 0.500
0.352 0.352 0.000
```

---

Record 5
This record from the Alexandria database describes a geometry-optimized HfZnFePt structure. The functional is PBE.

Output
E_form ... -482 meV per atom
SG ... No. 216
Crystal system ... cubic
Total magnetization ... 0.00 μB/f.u.

Cell and atoms, written as POSCAR:
```
HfZnFePt
1.0
0.000 3.111 3.111
3.111 0.000 3.111
3.111 3.111 0.000
Hf Zn Fe Pt
1 1 1 1
Direct
0.000 0.000 0.000
0.500 0.500 0.500
0.750 0.750 0.750
0.250 0.250 0.250
```

---

Record 6
This record from the Alexandria database describes a geometry-optimized Al2MoRu structure. The functional is PBE.

Output
E_form ... -288 meV per atom
Distance to the lowest polymorph of the same formula ... 93.6 meV/atom
SG ... No. 44
Crystal system ... orthorhombic
Total magnetization ... 0.00 μB/f.u.

Cell and atoms, written as POSCAR:
```
Al2MoRu
1.0
-1.501 2.162 4.530
1.501 -2.162 4.530
1.501 2.162 -4.530
Al Mo Ru
2 1 1
Direct
0.000 0.000 0.000
0.729 0.229 0.500
0.254 0.754 0.500
0.496 0.496 0.000
```

---

Q: Which of these has the highest total magnetization?
A: MnCu2As